An optimized crystal structure of K2FeNiBr6. Source: the Open Quantum Materials Database, functional PBE.

POSCAR file:
```
K2FeNiBr6
1.0
0.0000 5.1516 5.1516
5.1516 0.0000 5.1516
5.1516 5.1516 0.0000
K Fe Ni Br
2 1 1 6
Cartesian
2.5758 2.5758 2.5758
7.7273 7.7273 7.7273
0.0000 0.0000 0.0000
5.1516 5.1516 5.1516
5.1516 5.1516 2.5868
5.1516 2.5868 5.1516
7.7163 5.1516 5.1516
2.5868 5.1516 5.1516
5.1516 7.7163 5.1516
5.1516 5.1516 7.7163
```

The value obtained for the uncorrected energy is -0.128 Ha/atom. For the theoretical density, the calculation gives 4.1 g/cm3. As for the space group: Fm-3m (225).

An optimized crystal structure of K2FePdBr6. Source: the Open Quantum Materials Database, functional PBE.

POSCAR file:
```
K2FePdBr6
1.0
0.0000 5.2410 5.2410
5.2410 0.0000 5.2410
5.2410 5.2410 0.0000
K Fe Pd Br
2 1 1 6
Cartesian
2.6205 2.6205 2.6205
7.8615 7.8615 7.8615
0.0000 0.0000 0.0000
5.2410 5.2410 5.2410
5.2410 5.2410 2.5711
5.2410 2.5711 5.2410
7.9109 5.2410 5.2410
2.5711 5.2410 5.2410
5.2410 7.9109 5.2410
5.2410 5.2410 7.9109
```

The value obtained for the uncorrected energy is -0.127 Ha/atom. For the theoretical density, the calculation gives 4.2 g/cm3. As for the space group: Fm-3m (225).

An optimized crystal structure of K2TlFeBr6. Source: the Open Quantum Materials Database, functional PBE.

POSCAR file:
```
K2TlFeBr6
1.0
0.0000 5.5916 5.5916
5.5916 0.0000 5.5916
5.5916 5.5916 0.0000
K Tl Fe Br
2 1 1 6
Cartesian
2.7958 2.7958 2.7958
8.3875 8.3875 8.3875
0.0000 0.0000 0.0000
5.5916 5.5916 5.5916
5.5916 5.5916 3.0353
5.5916 3.0353 5.5916
8.1479 5.5916 5.5916
3.0353 5.5916 5.5916
5.5916 8.1479 5.5916
5.5916 5.5916 8.1479
```

The value obtained for the uncorrected energy is -0.120 Ha/atom. For the theoretical density, the calculation gives 3.9 g/cm3. As for the space group: Fm-3m (225).

An optimized crystal structure of LiFeBr4. Source: the Open Quantum Materials Database, functional PBE.

POSCAR file:
```
LiFeBr4
1.0
-3.0740 3.0740 5.4198
3.0740 -3.0740 5.4198
3.0740 3.0740 -5.4198
Li Fe Br
1 1 4
Cartesian
0.0000 0.0000 0.0000
0.0000 3.0740 2.7099
4.4626 1.3580 -1.3822
1.3580 1.6855 1.3822
-1.3886 1.7161 4.0377
1.7161 1.3886 6.8020
```

The value obtained for the uncorrected energy is -0.134 Ha/atom. For the theoretical density, the calculation gives 3.1 g/cm3. As for the space group: I-4 (82).

An optimized crystal structure of LiTl2FeBr6. Source: the Open Quantum Materials Database, functional PBE.

POSCAR file:
```
LiTl2FeBr6
1.0
-3.6360 3.6360 5.4353
3.6360 -3.6360 5.4353
3.6360 3.6360 -5.4353
Li Tl Fe Br
1 2 1 6
Cartesian
0.0000 0.0000 0.0000
3.6360 0.0000 2.7176
0.0000 3.6360 2.7176
0.0000 0.0000 5.4353
5.0393 1.5056 0.0000
0.0000 0.0000 2.8361
1.5056 2.2326 0.0000
2.1304 1.4034 5.4353
0.0000 0.0000 8.0345
-1.4034 2.1304 5.4353
```

The value obtained for the uncorrected energy is -0.121 Ha/atom. For the theoretical density, the calculation gives 5.5 g/cm3. As for the space group: I4/m (87).

An optimized crystal structure of TmLuFe2Br2. Source: the Open Quantum Materials Database, functional PBE.

POSCAR file:
```
TmLuFe2Br2
1.0
3.8033 0.0000 0.0000
-1.9016 3.2937 0.0000
0.0000 0.0000 11.4562
Tm Lu Fe Br
1 1 2 2
Cartesian
0.0000 0.0000 0.0000
0.0000 0.0000 7.5863
0.0000 2.1958 9.4394
1.9016 1.0979 9.5940
0.0000 2.1958 1.8956
1.9016 1.0979 5.6906
```

The value obtained for the uncorrected energy is -0.212 Ha/atom. For the theoretical density, the calculation gives 7.1 g/cm3. As for the space group: P3m1 (156).

An optimized crystal structure of YLuFe2Br2. Source: the Open Quantum Materials Database, functional PBE.

POSCAR file:
```
YLuFe2Br2
1.0
3.8247 0.0000 0.0000
-1.9123 3.3123 0.0000
0.0000 0.0000 11.5294
Y Lu Fe Br
1 1 2 2
Cartesian
0.0000 0.0000 0.0000
0.0000 0.0000 7.6197
0.0000 2.2082 9.4490
1.9123 1.1041 9.6053
0.0000 2.2082 1.9437
1.9123 1.1041 5.7422
```

The value obtained for the uncorrected energy is -0.224 Ha/atom. For the theoretical density, the calculation gives 6.1 g/cm3. As for the space group: P3m1 (156).

An optimized crystal structure of Mg3FeBr. Source: the Open Quantum Materials Database, functional PBE.

POSCAR file:
```
Mg3FeBr
1.0
5.1541 0.0000 0.0000
0.0000 5.1541 0.0000
0.0000 0.0000 5.1622
Mg Fe Br
3 1 1
Cartesian
0.0000 0.0000 0.0000
0.0000 2.5770 2.5811
2.5770 0.0000 2.5811
0.0000 0.0000 2.5811
2.5770 2.5770 0.0000
```

The value obtained for the uncorrected energy is -0.094 Ha/atom. For the theoretical density, the calculation gives 2.5 g/cm3. As for the space group: P4/mmm (123).

An optimized crystal structure of FeBrN. Source: the Open Quantum Materials Database, functional PBE.

POSCAR file:
```
FeBrN
1.0
1.6757 0.9675 9.4192
-1.6757 0.9675 9.4192
0.0000 -1.9350 9.4192
Fe Br N
2 2 2
Cartesian
0.0000 0.0000 3.5398
0.0000 0.0000 24.7179
0.0000 0.0000 11.1409
0.0000 0.0000 17.1168
0.0000 0.0000 5.4276
0.0000 0.0000 22.8301
```

The value obtained for the uncorrected energy is -0.214 Ha/atom. For the theoretical density, the calculation gives 5.4 g/cm3. As for the space group: R-3m (166).

An optimized crystal structure of Rb2NaFeBr6. Source: the Open Quantum Materials Database, functional PBE.

POSCAR file:
```
Rb2NaFeBr6
1.0
6.5672 -3.8036 0.0000
6.5672 3.8036 0.0000
-2.5164 0.0000 6.6465
Rb Na Fe Br
2 1 1 6
Cartesian
2.3593 0.0000 1.3368
8.2586 0.0000 5.3097
-1.2582 0.0000 3.3232
6.5672 0.0000 0.0000
5.2879 1.8234 1.2846
2.2147 0.0000 4.8427
5.3301 1.8234 5.3619
5.2879 -1.8234 1.2846
8.4033 0.0000 1.8038
5.3301 -1.8234 5.3619
```

The value obtained for the uncorrected energy is -0.121 Ha/atom. For the theoretical density, the calculation gives 3.6 g/cm3. As for the space group: C2/m (12).

An optimized crystal structure of Y2FeNiBr2. Source: the Open Quantum Materials Database, functional PBE.

POSCAR file:
```
Y2FeNiBr2
1.0
3.9359 0.0000 0.0000
-1.9680 3.4086 0.0000
0.0000 0.0000 11.3429
Y Fe Ni Br
2 1 1 2
Cartesian
0.0000 0.0000 0.0000
0.0000 0.0000 3.8608
0.0000 2.2724 2.0251
1.9680 1.1362 1.7945
0.0000 2.2724 9.4267
1.9680 1.1362 5.7667
```

The value obtained for the uncorrected energy is -0.221 Ha/atom. For the theoretical density, the calculation gives 4.9 g/cm3. As for the space group: P3m1 (156).

An optimized crystal structure of Rb2Fe2PdBr8. Source: the Open Quantum Materials Database, functional PBE.

POSCAR file:
```
Rb2Fe2PdBr8
1.0
6.1950 -3.7037 0.0000
6.1950 3.7037 0.0000
-4.2314 0.0000 9.9548
Rb Fe Pd Br
2 2 1 8
Cartesian
-0.2233 0.0000 2.6897
8.3819 0.0000 7.2650
3.6876 0.0000 2.0665
4.4710 0.0000 7.8883
4.0793 0.0000 4.9774
2.9082 1.8110 3.5553
2.2835 0.0000 0.1665
5.2504 1.8110 6.3995
2.1301 0.0000 8.0208
6.0285 0.0000 1.9340
2.9082 -1.8110 3.5553
5.8752 0.0000 9.7883
5.2504 -1.8110 6.3995
```

The value obtained for the uncorrected energy is -0.135 Ha/atom. For the theoretical density, the calculation gives 3.7 g/cm3. As for the space group: C2/m (12).

Which value of theoretical density does entry 5 give? 5.5 g/cm3

What is the theoretical density in the twelfth record? 3.7 g/cm3

theoretical density of number 5 (LiTl2FeBr6)? 5.5 g/cm3